Material: KTePt
Method: DFT, PBE-GGA
State: relaxed

```
data_KTePt
_chemical_formula_sum 'K3 Te3 Pt3'
_symmetry_space_group_name_H-M 'P 32 2 1'
_symmetry_Int_Tables_number 154
_cell_length_a 8.4779
_cell_length_b 8.4779
_cell_length_c 5.1803
_cell_angle_alpha 90.00
_cell_angle_beta 90.00
_cell_angle_gamma 120.00
loop_
_symmetry_equiv_pos_as_xyz
'x,y,z'
'-y,x-y,z+2/3'
'-x+y,-x,z+1/3'
'y,x,-z'
'x-y,-y,-z+1/3'
'-x,-x+y,-z+2/3'
loop_
_atom_site_label
_atom_site_type_symbol
_atom_site_fract_x
_atom_site_fract_y
_atom_site_fract_z
K1 K 0.0000 0.4581 0.3333
Te1 Te 0.0000 0.7303 0.8333
Pt1 Pt 0.0000 0.1349 0.8333
```

Calculated values
The volume is 107 Å³/f.u. Its uncorrected energy is -34.5 eV for the cell shown. The total magnetization comes out at 0.00 μB/cell. The value obtained for the formation energy (no corrections) is -401.9 meV/atom.